No. 1
Compound: MgMnTc
Source: the Alexandria database
Functional: GGA-PBE
Structure: relaxed

Values from the calculation:
magnetic moment = 2.4 μB/f.u.
space group = Imm2 (44)
calculated formation energy = 0.2996 eV per atom
Fermi-level density of states = 0.941 states/eV per atom
distance to the lowest polymorph of the same formula = 198 meV/atom

Cell and atoms, written as POSCAR:
```
MgMnTc
1.0
-1.3279 2.0370 4.1005
1.3279 -2.0370 4.1005
1.3279 2.0370 -4.1005
Mg Mn Tc
1 1 1
Direct
0.0000 0.0000 0.0000
0.6706 0.6706 0.0000
0.3275 0.3275 0.0000
```

***

No. 2
Compound: Al2NiBr
Source: the Alexandria database
Functional: GGA-PBE
Structure: relaxed

Values from the calculation:
energy relative to the elements, uncorrected = -0.1186 eV/atom
magnetic moment = 0.0 μB/f.u.
space group = Imm2 (44)
Fermi-level density of states = 0.437 states/eV per atom
distance to the lowest polymorph of the same formula = 154 meV/atom

Cell and atoms, written as POSCAR:
```
Al2NiBr
1.0
-1.5662 1.6783 7.9445
1.5662 -1.6783 7.9445
1.5662 1.6783 -7.9445
Al Ni Br
2 1 1
Direct
0.0000 0.0000 0.0000
0.6632 0.1632 0.5000
0.5470 0.5470 0.0000
0.2674 0.7674 0.5000
```

***

No. 3
Compound: PmMgNb
Source: the Alexandria database
Functional: GGA-PBE
Structure: relaxed

Values from the calculation:
magnetic moment = 0.0 μB/f.u.
space group = P-1 (2)
calculated formation energy = 0.3250 eV per atom
Fermi-level density of states = 1.017 states/eV per atom

Cell and atoms, written as POSCAR:
```
PmMgNb
1.0
3.1523 0.0000 0.0000
1.5682 5.7170 0.0000
0.0054 2.5731 7.9245
Pm Mg Nb
2 2 2
Direct
0.1687 0.1582 0.1309
0.8313 0.8418 0.8691
0.1337 0.2329 0.5208
0.8663 0.7671 0.4792
0.4656 0.5719 0.2322
0.5344 0.4281 0.7678
```